Record 1
# KReAs2O8

KReAs2O8 after structural relaxation (PBE-GGA, Alexandria via LeMat-Bulk).

## Properties
uncorrected formation energy = -15.9 eV per formula unit

Cell and atoms, written as POSCAR:
```
KReAs2O8
1.0
-4.481 2.246 -0.307
-2.741 0.713 4.147
1.503 8.954 2.495
O As K Re
8 2 1 1
Cartesian
-5.923 3.817 2.638
-0.892 4.074 1.751
-4.827 7.839 4.584
-2.379 9.146 5.128
-2.066 9.465 2.025
-3.339 2.767 1.208
-3.653 2.448 4.310
0.205 8.096 3.697
-4.101 9.319 4.810
-1.618 2.595 1.525
-2.859 5.957 3.168
0.000 0.000 0.000
```



Record 2
# YBN3

YBN3 after structural relaxation (PBE-GGA, Alexandria via LeMat-Bulk).

## Properties
uncorrected formation energy = 11.6 eV per formula unit

Cell and atoms, written as POSCAR:
```
YBN3
1.0
4.517 0.000 0.000
0.000 4.517 0.000
0.000 0.000 4.517
N B Y
3 1 1
Cartesian
2.259 0.000 0.000
0.000 2.259 0.000
0.000 0.000 2.259
2.259 2.259 2.259
0.000 0.000 0.000
```



Record 3
# LaTcGe3

LaTcGe3 after structural relaxation (PBE-GGA, Alexandria via LeMat-Bulk).

## Properties
ΔE to the lowest computed polymorph = 0.0000 eV per atom

Cell and atoms, written as POSCAR:
```
LaTcGe3
1.0
-3.713 4.425 1.614
-2.808 -3.804 3.970
4.827 3.376 1.849
Ge La Tc
6 2 2
Cartesian
-1.081 0.288 2.295
0.566 5.308 3.469
-0.614 3.709 5.138
-0.232 0.109 4.741
-2.261 -1.311 3.963
-1.462 3.888 2.692
1.353 2.090 2.959
-3.048 1.908 4.473
-3.713 4.425 1.614
-1.857 2.212 0.807
```



Record 4
# Tb2Nd2Y4Sc

Tb2Nd2Y4Sc after structural relaxation (PBE-GGA, Alexandria via LeMat-Bulk).

## Properties
raw total energy = -5.651 eV/atom

Cell and atoms, written as POSCAR:
```
Tb2Nd2Y4Sc
1.0
-0.543 -2.600 -2.426
-5.219 -3.181 7.242
-4.401 6.247 -5.709
Y Nd Tb Sc
4 2 2 1
Cartesian
-8.226 -0.125 1.973
-3.495 0.427 0.324
-1.937 0.591 -2.866
-6.667 0.039 -1.217
-6.449 3.471 -4.944
-3.714 -3.005 4.051
-4.540 2.826 -2.013
-5.623 -2.360 1.119
0.000 0.000 0.000
```



Record 5
# Rb2BaAlRu

Rb2BaAlRu after structural relaxation (PBE-GGA, Alexandria via LeMat-Bulk).

## Properties
raw total energy = -2.614 eV/atom

Cell and atoms, written as POSCAR:
```
Rb2BaAlRu
1.0
-4.946 3.287 -2.957
-1.775 -4.133 -1.626
-3.672 -0.584 5.494
Rb Ru Ba Al
2 1 1 1
Cartesian
-2.473 1.644 -1.478
-1.836 -0.292 2.747
-0.887 -2.066 -0.813
-5.197 -0.715 0.456
0.000 0.000 0.000
```



Record 6
# BeSiOs2

BeSiOs2 after structural relaxation (PBE-GGA, Alexandria via LeMat-Bulk).

## Properties
uncorrected formation energy = 1.7 eV per formula unit

Cell and atoms, written as POSCAR:
```
BeSiOs2
1.0
-1.143 1.043 2.209
-1.616 -0.705 -2.041
-0.732 -7.579 3.199
Si Be Os
1 1 2
Cartesian
-0.372 -3.852 1.626
-1.929 -5.515 2.483
-0.715 -7.394 3.121
-1.575 -1.849 0.936
```